# 1
The following is a PBE calculation of a geometry-optimized Mg4Zn5Ga6 structure, from Alexandria via LeMat-Bulk. Values from VASP.

uncorrected energy	-2.112	eV/atom
energy relative to the elements	-0.051	eV/atom
N(E_F)	0.371	states/eV per atom
space group	Cmc2_1, No. 36

The structure in Quantum ESPRESSO input format:
```
&SYSTEM
  ibrav = 0, nat = 30, ntyp = 3
/
ATOMIC_SPECIES
Mg 24.30 Mg.upf
Zn 65.41 Zn.upf
Ga 69.72 Ga.upf
ATOMIC_POSITIONS angstrom
Mg -8.8933 4.0882 1.9023
Mg -0.3037 9.8348 3.5682
Mg -2.0100 3.6250 1.8916
Mg -7.1673 10.5270 3.6538
Mg -6.3299 6.2391 1.8840
Mg -2.5005 11.9301 4.9760
Mg -0.2701 6.4650 2.3670
Mg -9.5095 0.7109 0.8958
Zn -8.6607 8.2800 5.5568
Zn -0.7882 2.7257 -1.0408
Zn -2.9256 7.9643 3.7034
Zn -6.5895 2.2753 0.5619
Zn -2.8538 6.2890 0.8459
Zn -5.9749 11.8988 6.0201
Zn -5.5865 7.6397 4.3968
Zn -3.9794 2.0122 -0.3238
Zn -6.0427 3.6754 3.1342
Zn -3.1177 10.6719 2.4751
Ga -4.7398 4.2706 0.7053
Ga -7.7790 5.6256 4.3509
Ga -4.9400 12.4446 3.6551
Ga -3.9102 5.4943 3.1295
Ga -8.2439 10.7106 6.2893
Ga -0.7857 5.1514 -0.1842
Ga -7.5943 1.6278 2.8818
Ga -1.9169 8.6564 1.3981
Ga -1.6262 1.1271 0.8923
Ga -7.9836 8.0152 3.0140
Ga -1.0407 12.6666 2.5494
Ga -4.4341 9.9204 4.8529
CELL_PARAMETERS angstrom
-1.1197 1.3030 -3.6866
-9.2332 -0.7659 4.7771
1.0898 12.6213 4.1299
```

# 2
The following is a PBE calculation of a geometry-optimized CaLu2Tl structure, from Alexandria via LeMat-Bulk. Values from VASP.

offset from the most stable computed form	41	meV/atom
uncorrected energy	-3.411	eV/atom
energy relative to the elements	-0.059	eV/atom
N(E_F)	1.214	states/eV per atom
space group	P4/mmm, No. 123

The structure in Quantum ESPRESSO input format:
```
&SYSTEM
  ibrav = 0, nat = 4, ntyp = 3
/
ATOMIC_SPECIES
Tl 204.38 Tl.upf
Lu 174.97 Lu.upf
Ca 40.08 Ca.upf
ATOMIC_POSITIONS angstrom
Tl 1.8033 1.8033 0.0000
Lu 0.0000 0.0000 7.4527
Lu 0.0000 0.0000 1.9769
Ca 1.8033 1.8033 4.7148
CELL_PARAMETERS angstrom
3.6066 0.0000 0.0000
0.0000 3.6066 0.0000
0.0000 0.0000 9.4296
```

# 3
The following is a PBE calculation of a geometry-optimized Sm12Dy5Tm2 structure, from Alexandria via LeMat-Bulk. Values from VASP.

offset from the most stable computed form	0	meV/atom
uncorrected energy	-4.559	eV/atom
energy relative to the elements	0.103	eV/atom
N(E_F)	1.461	states/eV per atom
space group	C2/m, No. 12

The structure in Quantum ESPRESSO input format:
```
&SYSTEM
  ibrav = 0, nat = 19, ntyp = 3
/
ATOMIC_SPECIES
Sm 150.36 Sm.upf
Dy 162.50 Dy.upf
Tm 168.93 Tm.upf
ATOMIC_POSITIONS angstrom
Sm 0.6852 -1.7931 0.8807
Sm 1.7727 -1.1039 6.7596
Sm -3.0399 -3.7078 5.2024
Sm 3.6316 -3.6253 5.5019
Sm -1.3065 -6.2971 3.9040
Sm 0.4127 -4.7482 6.6641
Sm -5.4286 -2.7594 0.0976
Sm -8.6474 -3.8823 1.2599
Sm -3.7094 -1.2105 2.8577
Sm -6.7886 -6.4037 0.0021
Sm -1.9760 -3.7998 1.5593
Sm -5.7010 -5.7145 5.8810
Dy -0.4055 -1.7546 4.1872
Dy 1.4588 -4.5013 3.0184
Dy -1.4953 1.3621 2.3438
Dy -6.4746 -3.0063 3.7433
Dy -4.6103 -5.7530 2.5745
Tm -7.5791 -4.1007 -2.4524
Tm -2.2817 -1.2345 -0.7383
CELL_PARAMETERS angstrom
-9.8608 -5.3353 -3.1907
7.8357 -4.8964 5.2648
-2.9907 2.7242 4.6876
```

# 4
The following is a PBE calculation of a geometry-optimized SrCrMo2 structure, from Alexandria via LeMat-Bulk. Values from VASP.

offset from the most stable computed form	467	meV/atom
uncorrected energy	-7.110	eV/atom
energy relative to the elements	1.132	eV/atom
N(E_F)	1.099	states/eV per atom
space group	Pmmm, No. 47

The structure in Quantum ESPRESSO input format:
```
&SYSTEM
  ibrav = 0, nat = 4, ntyp = 3
/
ATOMIC_SPECIES
Cr 52.00 Cr.upf
Mo 95.94 Mo.upf
Sr 87.62 Sr.upf
ATOMIC_POSITIONS angstrom
Cr 0.0000 2.2705 2.5545
Mo 0.0000 0.0000 0.0000
Mo 1.6396 2.2705 0.0000
Sr 1.6396 0.0000 2.5545
CELL_PARAMETERS angstrom
3.2792 0.0000 0.0000
0.0000 4.5410 0.0000
0.0000 0.0000 5.1090
```

# 5
The following is a PBE calculation of a geometry-optimized Ti2WAu structure, from Alexandria via LeMat-Bulk. Values from VASP.

offset from the most stable computed form	0	meV/atom
uncorrected energy	-8.274	eV/atom
energy relative to the elements	-0.269	eV/atom
N(E_F)	1.069	states/eV per atom
space group	P4/mmm, No. 123

The structure in Quantum ESPRESSO input format:
```
&SYSTEM
  ibrav = 0, nat = 4, ntyp = 3
/
ATOMIC_SPECIES
Au 196.97 Au.upf
W 183.84 W.upf
Ti 47.87 Ti.upf
ATOMIC_POSITIONS angstrom
Au 2.1885 2.7731 1.6265
W 1.0888 -0.1391 2.0189
Ti 1.6873 4.4684 -0.6020
Ti 0.5121 1.3562 -0.1827
CELL_PARAMETERS angstrom
-0.7677 0.7046 3.0783
2.9453 -0.9829 0.9596
2.1995 5.8246 -0.7847
```

# 6
The following is a PBE calculation of a geometry-optimized La2ZnRe2 structure, from Alexandria via LeMat-Bulk. Values from VASP.

offset from the most stable computed form	0	meV/atom
uncorrected energy	-6.990	eV/atom
energy relative to the elements	0.215	eV/atom
N(E_F)	0.776	states/eV per atom
space group	P4/mbm, No. 127

The structure in Quantum ESPRESSO input format:
```
&SYSTEM
  ibrav = 0, nat = 10, ntyp = 3
/
ATOMIC_SPECIES
Re 186.21 Re.upf
Zn 65.41 Zn.upf
La 138.91 La.upf
ATOMIC_POSITIONS angstrom
Re -4.2651 -0.6608 -5.1034
Re -4.7403 3.2313 -4.8282
Re -2.1897 3.3313 -1.8391
Re -1.7146 -0.5608 -2.1143
Zn 0.0000 0.0000 0.0000
Zn -3.2274 1.3352 -3.4713
La -4.7656 -1.5195 -2.1847
La -6.6803 1.0351 -3.8691
La -5.2624 3.5367 -1.6870
La -3.3476 0.9820 -0.0026
CELL_PARAMETERS angstrom
-2.8422 6.0265 -2.0249
-3.6127 -3.3561 -4.9176
-3.5731 -0.6534 3.0708
```

# 7
The following is a PBE calculation of a geometry-optimized TlPS2Cl structure, from Alexandria via LeMat-Bulk. Values from VASP.

E_form (uncorrected)	0.935	eV per atom
offset from the most stable computed form	988	meV/atom
uncorrected energy	-2.640	eV/atom
N(E_F)	0.524	states/eV per atom
space group	P4/mmm, No. 123

The structure in Quantum ESPRESSO input format:
```
&SYSTEM
  ibrav = 0, nat = 5, ntyp = 4
/
ATOMIC_SPECIES
P 30.97 P.upf
Tl 204.38 Tl.upf
S 32.06 S.upf
Cl 35.45 Cl.upf
ATOMIC_POSITIONS angstrom
P 2.6069 2.6069 2.5793
Tl 0.0000 0.0000 0.0000
S 0.0000 2.6069 0.0000
S 2.6069 0.0000 0.0000
Cl 0.0000 0.0000 2.5793
CELL_PARAMETERS angstrom
5.2138 0.0000 0.0000
0.0000 5.2138 0.0000
0.0000 0.0000 5.1586
```

# 8
The following is a PBE calculation of a geometry-optimized MoPt2Au structure, from Alexandria via LeMat-Bulk. Values from VASP.

offset from the most stable computed form	164	meV/atom
uncorrected energy	-6.616	eV/atom
energy relative to the elements	-0.069	eV/atom
N(E_F)	0.848	states/eV per atom
space group	I4/mmm, No. 139

The structure in Quantum ESPRESSO input format:
```
&SYSTEM
  ibrav = 0, nat = 4, ntyp = 3
/
ATOMIC_SPECIES
Au 196.97 Au.upf
Mo 95.94 Mo.upf
Pt 195.08 Pt.upf
ATOMIC_POSITIONS angstrom
Au 2.6453 0.3417 0.9699
Mo 0.6872 2.2614 1.5713
Pt 0.0000 0.0000 0.0000
Pt 1.7013 0.5969 3.6343
CELL_PARAMETERS angstrom
-0.2568 2.5166 4.2357
3.6594 -1.3228 3.0330
-0.0701 1.4094 -4.7274
```

# 9
The following is a PBE calculation of a geometry-optimized CoW2Cl structure, from Alexandria via LeMat-Bulk. Values from VASP.

E_form (uncorrected)	0.880	eV per atom
offset from the most stable computed form	505	meV/atom
uncorrected energy	-7.834	eV/atom
N(E_F)	0.936	states/eV per atom
space group	Immm, No. 71

The structure in Quantum ESPRESSO input format:
```
&SYSTEM
  ibrav = 0, nat = 4, ntyp = 3
/
ATOMIC_SPECIES
Co 58.93 Co.upf
W 183.84 W.upf
Cl 35.45 Cl.upf
ATOMIC_POSITIONS angstrom
Co 1.5450 1.8305 1.2224
W 7.6448 4.5246 0.0000
W 4.0346 2.3879 0.0000
Cl 2.9173 -0.4880 1.2291
CELL_PARAMETERS angstrom
5.2654 -0.0144 0.0066
2.5209 4.6227 -0.0066
-3.3240 -3.2658 2.4515
```

# 10
The following is a PBE calculation of a geometry-optimized SrSm3Al8 structure, from Alexandria via LeMat-Bulk. Values from VASP.

uncorrected energy	-4.249	eV/atom
energy relative to the elements	-0.434	eV/atom
N(E_F)	0.638	states/eV per atom
space group	R3m, No. 160

The structure in Quantum ESPRESSO input format:
```
&SYSTEM
  ibrav = 0, nat = 12, ntyp = 3
/
ATOMIC_SPECIES
Sr 87.62 Sr.upf
Sm 150.36 Sm.upf
Al 26.98 Al.upf
ATOMIC_POSITIONS angstrom
Sr 8.5166 4.9171 3.4893
Sm 5.6778 3.2781 8.1358
Sm 8.5166 4.9171 0.0272
Sm 5.6778 3.2781 4.6385
Al 7.1039 2.4547 1.6905
Al 7.0886 5.7416 6.4443
Al 4.2516 2.4547 1.6905
Al 9.9447 5.7416 6.4443
Al 2.8389 1.6390 4.0720
Al 8.5166 4.9171 8.7261
Al 5.6778 4.9248 1.6905
Al 8.5166 3.2681 6.4443
CELL_PARAMETERS angstrom
5.6778 0.0000 0.0000
2.8389 4.9171 0.0000
2.8389 1.6390 9.3032
```

# 11
The following is a PBE calculation of a geometry-optimized Tb12In3Sn structure, from Alexandria via LeMat-Bulk. Values from VASP.

uncorrected energy	-4.548	eV/atom
energy relative to the elements	-0.312	eV/atom
N(E_F)	1.446	states/eV per atom
space group	P4/mmm, No. 123

The structure in Quantum ESPRESSO input format:
```
&SYSTEM
  ibrav = 0, nat = 16, ntyp = 3
/
ATOMIC_SPECIES
Tb 158.93 Tb.upf
In 114.82 In.upf
Sn 118.71 Sn.upf
ATOMIC_POSITIONS angstrom
Tb -1.5367 -2.1349 -2.1987
Tb 0.7969 -5.8578 -0.2148
Tb 3.1588 -9.6259 1.7933
Tb 5.5206 -13.3939 3.8013
Tb -0.9003 -3.1282 0.9938
Tb 1.4573 -6.8894 2.9982
Tb 3.8203 -10.6593 5.0072
Tb 6.1780 -14.4206 7.0116
Tb 1.6762 -2.6963 -1.2263
Tb 4.0338 -6.4575 0.7781
Tb 6.3968 -10.2274 2.7871
Tb 8.7544 -13.9887 4.7915
In 2.3462 -3.7431 1.9947
In 4.6954 -7.4910 3.9920
In 7.0446 -11.2388 5.9892
Sn 0.0000 0.0000 0.0000
CELL_PARAMETERS angstrom
-4.1132 -2.5668 0.0213
1.0398 -1.7030 -4.4188
9.3908 -14.9819 7.9840
```

# 12
The following is a PBE calculation of a geometry-optimized Cd2SiTc structure, from Alexandria via LeMat-Bulk. Values from VASP.

E_form (uncorrected)	0.438	eV per atom
uncorrected energy	-3.967	eV/atom
N(E_F)	0.777	states/eV per atom
space group	Cmmm, No. 65

The structure in Quantum ESPRESSO input format:
```
&SYSTEM
  ibrav = 0, nat = 4, ntyp = 3
/
ATOMIC_SPECIES
Cd 112.41 Cd.upf
Si 28.09 Si.upf
Tc 98.00 Tc.upf
ATOMIC_POSITIONS angstrom
Cd 0.0000 0.0000 0.0000
Cd 1.3924 2.2786 0.0000
Si 2.5679 -0.0045 1.5249
Tc -1.1755 2.2831 1.5249
CELL_PARAMETERS angstrom
5.1358 -0.0090 0.0000
-2.3511 4.5661 0.0000
0.0000 0.0000 3.0498
```